A:
First-principles (PBE) data for an optimized crystal structure of PAu2Br, as listed in the Alexandria database.

Total magnetic moment ... 0.0 μB/f.u.
SG ... No. 65
DOS(E_F) ... 2.29 states/eV/f.u.
Density ... 9.1 g/cm³

Cell and atoms, written as POSCAR:
```
PAu2Br
1.0
3.5410 0.0000 0.0000
0.0000 6.7544 0.0000
0.0000 0.0000 7.7262
P Au Br
2 4 2
direct
0.0000 0.0000 0.0000
0.5000 0.5000 0.0000
0.0000 0.5000 0.2205
0.0000 0.5000 0.7795
0.5000 0.0000 0.2205
0.5000 0.0000 0.7795
0.0000 0.0000 0.5000
0.5000 0.5000 0.5000
```

***

B:
First-principles (PBE) data for an optimized crystal structure of PAu2Br, as listed in the Alexandria database.

Total magnetic moment ... 0.0 μB/f.u.
SG ... No. 12
DOS(E_F) ... 2.16 states/eV/f.u.
Density ... 10.1 g/cm³

Cell and atoms, written as POSCAR:
```
PAu2Br
1.0
5.6539 0.0000 0.0000
0.0000 7.6534 0.0000
-2.8146 0.0000 3.8257
P Au Br
2 4 2
direct
0.0000 0.0000 0.0000
0.5000 0.5000 0.0000
0.2500 0.2500 0.5000
0.2500 0.7500 0.5000
0.7500 0.2500 0.5000
0.7500 0.7500 0.5000
0.0000 0.5000 0.0000
0.5000 0.0000 0.0000
```

***

A wins, 126 meV per atom ahead of the next structure.